VASP calculation (PBE) on a geometry-optimized K3LuP2O8 structure.

Results
The value obtained for the uncorrected formation energy is -251.6 kJ per mole of atoms.

Lattice parameters (Å, degrees): 5.641 7.859 9.507 87.92 90.00 90.00
Element x y z (fractional)
K  0.250  0.229  0.920
K  0.750  0.771  0.080
K  0.250  0.697  0.578
K  0.750  0.303  0.422
K  0.250  0.499  0.211
K  0.750  0.501  0.789
Lu  0.250  0.976  0.260
Lu  0.750  0.024  0.740
P  0.250  0.218  0.570
P  0.750  0.782  0.430
P  0.750  0.225  0.096
P  0.250  0.775  0.904
O  0.250  0.067  0.470
O  0.750  0.933  0.530
O  0.250  0.385  0.482
O  0.750  0.615  0.518
O  0.026  0.208  0.668
O  0.526  0.792  0.332
O  0.974  0.792  0.332
O  0.474  0.208  0.668
O  0.977  0.150  0.171
O  0.477  0.850  0.829
O  0.023  0.850  0.829
O  0.523  0.150  0.171
O  0.750  0.169  0.940
O  0.250  0.831  0.060
O  0.750  0.420  0.104
O  0.250  0.580  0.896



VASP calculation (PBE) on a geometry-optimized TaInCuW2 structure.

Results
Its formation enthalpy at 0 K is 1.431 eV per atom.

Lattice parameters (Å, degrees): 4.578 4.605 4.578 90.00 90.00 90.00
Element x y z (fractional)
In  0.500  0.500  0.500
Cu  0.000  0.000  0.000
W  0.000  0.000  0.500
W  0.500  0.000  0.000
Ta  0.000  0.500  0.000



VASP calculation (PBE) on a geometry-optimized Ti2ReNi2 structure.

Results
Its formation enthalpy at 0 K is -0.102 eV per atom.

Lattice parameters (Å, degrees): 7.028 7.028 2.821 90.00 90.00 90.00
Element x y z (fractional)
Re  0.000  0.000  0.000
Re  0.500  0.500  0.000
Ti  0.338  0.838  0.000
Ti  0.838  0.662  0.000
Ti  0.662  0.162  0.000
Ti  0.162  0.338  0.000
Ni  0.133  0.633  0.500
Ni  0.633  0.867  0.500
Ni  0.867  0.367  0.500
Ni  0.367  0.133  0.500



VASP calculation (PBE) on a geometry-optimized AcPm2Dy structure.

Results
Its formation enthalpy at 0 K is 0.121 eV per atom.

Lattice parameters (Å, degrees): 4.236 4.236 8.107 90.00 90.00 90.00
Element x y z (fractional)
Ac  0.500  0.500  0.500
Pm  0.000  0.000  0.781
Pm  0.000  0.000  0.219
Dy  0.500  0.500  0.000



VASP calculation (PBE) on a geometry-optimized AcNiHgPb structure.

Results
Its formation enthalpy at 0 K is -0.148 eV per atom.

Lattice parameters (Å, degrees): 5.263 5.263 5.263 60.00 60.00 60.00
Element x y z (fractional)
Pb  0.000  0.000  0.000
Ni  0.250  0.250  0.250
Ac  0.500  0.500  0.500
Hg  0.750  0.750  0.750



VASP calculation (PBE) on a geometry-optimized TbPmAlPd structure.

Results
Its formation enthalpy at 0 K is -0.522 eV per atom.

Lattice parameters (Å, degrees): 5.140 5.140 5.140 60.00 60.00 60.00
Element x y z (fractional)
Tb  0.500  0.500  0.500
Al  0.750  0.750  0.750
Pd  0.250  0.250  0.250
Pm  0.000  0.000  0.000



VASP calculation (PBE) on a geometry-optimized DySnSeO2 structure.

Results
The value obtained for the uncorrected formation energy is -192.6 kJ per mole of atoms.

Lattice parameters (Å, degrees): 4.069 6.533 7.538 109.67 90.00 90.00
Element x y z (fractional)
Dy  0.250  0.678  0.928
Dy  0.750  0.322  0.072
Sn  0.250  0.684  0.430
Sn  0.750  0.316  0.570
Se  0.250  0.042  0.783
Se  0.750  0.958  0.217
O  0.750  0.521  0.390
O  0.250  0.479  0.610
O  0.750  0.518  0.871
O  0.250  0.482  0.129



VASP calculation (PBE) on a geometry-optimized TiSi3S structure.

Results
The value obtained for the uncorrected formation energy is 73.2 kJ per mole of atoms.

Lattice parameters (Å, degrees): 4.464 4.464 4.464 90.00 90.00 90.00
Element x y z (fractional)
S  0.000  0.000  0.000
Si  0.000  0.500  0.000
Si  0.000  0.000  0.500
Si  0.500  0.000  0.000
Ti  0.500  0.500  0.500



VASP calculation (PBE) on a geometry-optimized Li6CaMg6 structure.

Results
Its formation enthalpy at 0 K is -0.036 eV per atom.

Lattice parameters (Å, degrees): 5.541 7.761 7.761 83.33 69.09 69.09
Element x y z (fractional)
Li  0.000  0.500  0.000
Li  0.500  0.500  0.000
Li  0.000  0.000  0.500
Li  0.500  0.000  0.500
Li  0.500  0.781  0.219
Li  0.500  0.219  0.781
Ca  0.000  0.000  0.000
Mg  0.352  0.648  0.648
Mg  0.648  0.352  0.352
Mg  0.000  0.352  0.648
Mg  0.000  0.648  0.352
Mg  0.291  0.209  0.209
Mg  0.709  0.791  0.791



VASP calculation (PBE) on a geometry-optimized MgZn5Co structure.

Results
Its formation enthalpy at 0 K is 0.105 eV per atom.

Lattice parameters (Å, degrees): 4.734 4.734 5.534 90.01 90.01 115.57
Element x y z (fractional)
Mg  0.000  0.000  0.000
Zn  0.500  0.000  0.266
Zn  0.000  0.500  0.266
Zn  0.000  0.000  0.500
Zn  0.000  0.500  0.734
Zn  0.500  0.000  0.734
Co  0.500  0.500  0.500



VASP calculation (PBE) on a geometry-optimized Y2MoRh structure.

Results
Its formation enthalpy at 0 K is 0.194 eV per atom.

Lattice parameters (Å, degrees): 4.743 4.743 6.096 80.76 80.76 39.25
Element x y z (fractional)
Mo  0.750  0.750  0.750
Rh  0.250  0.250  0.250
Y  0.993  0.993  0.005
Y  0.507  0.507  0.495



VASP calculation (PBE) on a geometry-optimized Rb2GaSnS5 structure.

Results
The value obtained for the uncorrected formation energy is -67.2 kJ per mole of atoms.

Lattice parameters (Å, degrees): 3.660 10.300 14.285 90.00 90.00 100.23
Element x y z (fractional)
Rb  0.874  0.749  0.800
Rb  0.119  0.238  0.679
Rb  0.126  0.251  0.300
Rb  0.881  0.762  0.179
Ga  0.574  0.149  0.939
Ga  0.426  0.851  0.439
Sn  0.785  0.569  0.524
Sn  0.215  0.431  0.024
S  0.335  0.671  0.991
S  0.688  0.376  0.898
S  0.514  0.027  0.809
S  0.285  0.570  0.646
S  0.929  0.859  0.538
S  0.665  0.329  0.491
S  0.312  0.624  0.398
S  0.486  0.973  0.309
S  0.715  0.430  0.146
S  0.071  0.141  0.038



no.,total magnetization (μB per atom)
1,0.00
2,0.00
3,0.00
4,0.00
5,0.00
6,0.00
7,0.00
8,0.00
9,0.00
10,0.00
11,0.00
12,0.03